No. 1
DFT (GGA-PBEsol) results for crystalline LiTlBAs2 at its relaxed geometry.

Summary:
- energy of formation from the pure elements (eV/atom) = 0.51
- VASP energy (eV per atom) = -3.8582
- total magnetic moment (μB per atom) = 0.00
- volume (Å³ per atom) = 19.468

Cell lengths 4.4436, 4.4436, 4.9298 Å; angles 90.00, 90.00, 90.00 degrees
Fractional positions:
1 Li 0.0000 0.0000 0.0000
2 Tl 0.5000 0.5000 0.0000
3 B 0.5000 0.5000 0.5000
4 As 0.0000 0.5000 0.5000
5 As 0.5000 0.0000 0.5000

=====

No. 2
DFT (GGA-PBEsol) results for crystalline Mg2BAs2 at its relaxed geometry.

Summary:
- energy of formation from the pure elements (eV/atom) = 0.50
- VASP energy (eV per atom) = -3.6284
- total magnetic moment (μB per atom) = 0.00
- volume (Å³ per atom) = 17.892

Cell lengths 7.6178, 7.6178, 3.0832 Å; angles 90.00, 90.00, 90.00 degrees
Fractional positions:
1 Mg 0.1410 0.3590 0.0000
2 Mg 0.3590 0.8590 0.0000
3 Mg 0.6410 0.1410 0.0000
4 Mg 0.8590 0.6410 0.0000
5 B 0.0000 0.0000 0.5000
6 B 0.5000 0.5000 0.5000
7 As 0.1629 0.6629 0.5000
8 As 0.3371 0.1629 0.5000
9 As 0.6629 0.8371 0.5000
10 As 0.8371 0.3371 0.5000

=====

No. 3
DFT (GGA-PBEsol) results for crystalline MgSc2BAs at its relaxed geometry.

Summary:
- energy of formation from the pure elements (eV/atom) = 0.33
- VASP energy (eV per atom) = -5.0824
- total magnetic moment (μB per atom) = 0.00
- volume (Å³ per atom) = 20.730

Cell lengths 5.0915, 5.0915, 3.9982 Å; angles 90.00, 90.00, 90.00 degrees
Fractional positions:
1 Mg 0.0000 0.0000 0.0000
2 Sc 0.0000 0.5000 0.5000
3 Sc 0.5000 0.0000 0.5000
4 B 0.5000 0.5000 0.0000
5 As 0.5000 0.5000 0.5000

=====

No. 4
DFT (GGA-PBEsol) results for crystalline MgBAs2Se at its relaxed geometry.

Summary:
- VASP energy (eV per atom) = -3.1029
- total magnetic moment (μB per atom) = 0.00
- ΔE_f (raw) (meV per atom) = 1456
- volume (Å³ per atom) = 23.510

Cell lengths 4.8733, 4.8733, 4.9497 Å; angles 90.00, 90.00, 90.00 degrees
Fractional positions:
1 Mg 0.0000 0.0000 0.0000
2 B 0.5000 0.5000 0.5000
3 As 0.0000 0.5000 0.0000
4 As 0.5000 0.0000 0.0000
5 Se 0.0000 0.0000 0.5000

=====

No. 5
DFT (GGA-PBEsol) results for crystalline MgBAs2Se at its relaxed geometry.

Summary:
- VASP energy (eV per atom) = -4.0949
- total magnetic moment (μB per atom) = 0.00
- ΔE_f (raw) (meV per atom) = 464
- volume (Å³ per atom) = 17.706

Cell lengths 4.3045, 4.3045, 4.7779 Å; angles 90.00, 90.00, 90.00 degrees
Fractional positions:
1 Mg 0.0000 0.0000 0.0000
2 B 0.5000 0.5000 0.5000
3 As 0.0000 0.5000 0.5000
4 As 0.5000 0.0000 0.5000
5 Se 0.5000 0.5000 0.0000

=====

No. 6
DFT (GGA-PBEsol) results for crystalline MnB2As at its relaxed geometry.

Summary:
- energy of formation from the pure elements (eV/atom) = 0.66
- VASP energy (eV per atom) = -6.5642
- total magnetic moment (μB per atom) = 0.49
- volume (Å³ per atom) = 12.909

Cell lengths 4.7148, 4.7148, 9.2912 Å; angles 90.00, 90.00, 90.00 degrees
Fractional positions:
1 Mn 0.0000 0.0000 0.0000
2 Mn 0.0000 0.5000 0.2500
3 Mn 0.5000 0.0000 0.7500
4 Mn 0.5000 0.5000 0.5000
5 B 0.2416 0.2500 0.1250
6 B 0.2500 0.7416 0.3750
7 B 0.2500 0.7584 0.8750
8 B 0.2584 0.2500 0.6250
9 B 0.7416 0.7500 0.6250
10 B 0.7500 0.2416 0.8750
11 B 0.7500 0.2584 0.3750
12 B 0.7584 0.7500 0.1250
13 As 0.0000 0.0000 0.5000
14 As 0.0000 0.5000 0.7500
15 As 0.5000 0.0000 0.2500
16 As 0.5000 0.5000 0.0000